1.
Ac4Bi3As | GGA-PBE | optimized geometry

a b c (Å): 8.318 9.616 8.296
angles (deg): 90.00 109.51 90.00
Fractional positions:
1 Ac 0.236 0.117 0.002
2 Ac 0.236 0.883 0.502
3 Ac 0.245 0.367 0.491
4 Ac 0.245 0.633 0.991
5 Ac 0.755 0.367 0.009
6 Ac 0.755 0.633 0.509
7 Ac 0.764 0.117 0.498
8 Ac 0.764 0.883 0.998
9 Bi 0.000 0.374 0.750
10 Bi 0.000 0.626 0.250
11 Bi 0.500 0.125 0.750
12 Bi 0.500 0.375 0.250
13 Bi 0.500 0.625 0.750
14 Bi 0.500 0.875 0.250
15 As 0.000 0.123 0.250
16 As 0.000 0.877 0.750

Computed properties:
The total magnetization is 0.0 μB/f.u.

=====

2.
Pr12DyEr6 | GGA-PBE | optimized geometry

a b c (Å): 8.719 8.719 8.719
angles (deg): 88.87 88.87 88.87
Fractional positions:
1 Pr 0.036 0.283 0.933
2 Pr 0.067 0.964 0.717
3 Pr 0.136 0.308 0.481
4 Pr 0.283 0.933 0.036
5 Pr 0.308 0.481 0.136
6 Pr 0.481 0.136 0.308
7 Pr 0.519 0.864 0.692
8 Pr 0.692 0.519 0.864
9 Pr 0.717 0.067 0.964
10 Pr 0.864 0.692 0.519
11 Pr 0.933 0.036 0.283
12 Pr 0.964 0.717 0.067
13 Dy 0.500 0.500 0.500
14 Er 0.206 0.600 0.758
15 Er 0.242 0.794 0.400
16 Er 0.400 0.242 0.794
17 Er 0.600 0.758 0.206
18 Er 0.758 0.206 0.600
19 Er 0.794 0.400 0.242

Computed properties:
The total magnetization is 0.0 μB/f.u.

=====

| no. | energy of formation (meV per atom) | Fermi-level density of states (states/eV/atom) |
| --- | --- | --- |
| 1 | -1102.6 | 0.13 |
| 2 | 127.6 | 1.70 |